Compound: FeIN2O
Source: Alexandria
Functional: PBE with a Hubbard U
Structure: relaxed

abc: 4.0192 4.0192 4.2932
angles: 90.00 90.00 90.00
Space group P4/mmm (No. 123)
Unique sites:
Fe1 0.0000 0.0000 0.0000 x1
I1 0.5000 0.5000 0.0000 x1
N1 0.0000 0.5000 0.5000 x2
O1 0.5000 0.5000 0.5000 x1

raw total energy = -17.3 eV per formula unit
volume = 13.9 A^3/atom
magnetic moment = 5.8 μB per formula unit
DOS at the Fermi energy = 0.615 states/eV per atom